Computed, not measured: crystalline SnTeN2 at its relaxed geometry at the PBE level of DFT.

The structure in CIF format:
```
data_SnTeN2
_cell_length_a 6.143
_cell_length_b 6.143
_cell_length_c 6.143
_cell_angle_alpha 90.00
_cell_angle_beta 90.00
_cell_angle_gamma 90.00
_space_group_name_H-M_alt 'F m -3 m'
_space_group_IT_number 225
_space_group_name_Hall '-F 4 2 3'
loop_
_atom_site_label
_atom_site_fract_x
_atom_site_fract_y
_atom_site_fract_z
_atom_site_occupancy
Sn1 0.000 0.000 0.000 1
Te1 0.000 0.000 0.500 1
N1 0.250 0.250 0.250 1
```

**Formation energy without anion corrections**: 35.1 kcal/mol of atoms
**Energy above the lowest structure with this stoichiometry**: 1521.0 meV/atom
**Magnetization**: 0.0 μB per cell
**E**: -4.428 eV/atom
**Volume**: 231.8 Å³/cell